1.
A plane-wave DFT calculation with PBE-GGA was carried out for an optimized crystal structure of NaP2Pb2.

Values from the calculation:
- Fermi-level density of states: 3.8 states/eV/cell
- Energy of formation from the pure elements: 0.086 eV/atom
- Space-group type: No. 127

Cell and atoms, written as POSCAR:
```
NaP2Pb2
1.0
7.940 0.000 0.000
0.000 7.940 0.000
0.000 0.000 3.883
Na P Pb
2 4 4
Direct
0.000 0.000 0.000
0.500 0.500 0.000
0.151 0.349 0.000
0.349 0.849 0.000
0.651 0.151 0.000
0.849 0.651 0.000
0.150 0.650 0.500
0.350 0.150 0.500
0.650 0.850 0.500
0.850 0.350 0.500
```



2.
A plane-wave DFT calculation with PBE-GGA was carried out for an optimized crystal structure of Ac12PdAu6.

Values from the calculation:
- Fermi-level density of states: 25.3 states/eV/cell
- Energy of formation from the pure elements: -0.482 eV/atom
- Space-group type: No. 148

Cell and atoms, written as POSCAR:
```
Ac12PdAu6
1.0
6.944 4.009 4.388
-6.944 4.009 4.388
0.000 -8.019 4.388
Ac Pd Au
12 1 6
Direct
0.043 0.680 0.918
0.082 0.957 0.320
0.185 0.416 0.572
0.320 0.082 0.957
0.416 0.572 0.185
0.428 0.815 0.584
0.572 0.185 0.416
0.584 0.428 0.815
0.680 0.918 0.043
0.815 0.584 0.428
0.918 0.043 0.680
0.957 0.320 0.082
0.000 0.000 0.000
0.129 0.623 0.311
0.311 0.129 0.623
0.377 0.689 0.871
0.623 0.311 0.129
0.689 0.871 0.377
0.871 0.377 0.689
```